1.
First-principles (GGA-PBE) data for Zr2TePdPb after structural relaxation, as listed in Alexandria via LeMat-Bulk.

## Properties
Space group   P4/mmm, No. 123
E_form (uncorrected)   0.87 eV per atom

Lattice parameters (Å, degrees): 5.263 5.263 5.760 90.00 90.00 90.00
Element x y z (fractional)
Zr  0.000  0.500  0.000
Zr  0.500  0.000  0.000
Te  0.000  0.000  0.000
Pd  0.500  0.500  0.500
Pb  0.000  0.000  0.500


2.
First-principles (GGA-PBE) data for ThPdPb2 after structural relaxation, as listed in Alexandria via LeMat-Bulk.

## Properties
Energy relative to the lowest polymorph listed for this composition   0 meV/atom
Space group   P4/mmm, No. 123
Formation enthalpy at 0 K   -304 meV per atom

Lattice parameters (Å, degrees): 4.685 4.685 4.716 90.00 90.00 90.00
Element x y z (fractional)
Th  0.000  0.000  0.000
Pd  0.500  0.500  0.000
Pb  0.000  0.500  0.500
Pb  0.500  0.000  0.500


3.
First-principles (GGA-PBE) data for ThPdPb2 after structural relaxation, as listed in Alexandria via LeMat-Bulk.

## Properties
Energy relative to the lowest polymorph listed for this composition   366 meV/atom
Space group   R-3m, No. 166
Formation enthalpy at 0 K   62 meV per atom

Lattice parameters (Å, degrees): 10.988 10.988 10.988 18.07 18.07 18.07
Element x y z (fractional)
Th  0.000  0.000  0.000
Pd  0.500  0.500  0.500
Pb  0.103  0.103  0.103
Pb  0.897  0.897  0.897


4.
First-principles (GGA-PBE) data for ThPdPb after structural relaxation, as listed in Alexandria via LeMat-Bulk.

## Properties
Space group   I4mm, No. 107
Formation enthalpy at 0 K   -444 meV per atom

Lattice parameters (Å, degrees): 6.487 6.487 6.487 148.23 148.23 45.54
Element x y z (fractional)
Th  0.000  0.000  0.000
Pd  0.360  0.360  0.000
Pb  0.709  0.709  0.000


| no. | total moment (μB per atom) |
| --- | --- |
| 1 | 0.000 |
| 2 | 0.000 |
| 3 | 0.000 |
| 4 | 0.000 |